Compound: VCo2AsO6
Source: the Alexandria database
Functional: PBE with a Hubbard U
Structure: relaxed

magnetic moment = 0.40 μB/atom
total energy = -6.4401 eV per atom

a = 4.989 Å, b = 5.052 Å, c = 5.749 Å
α = 62.90°, β = 63.91°, γ = 59.71°
Fractional positions:
O  0.222  0.900  0.266
O  0.751  0.103  0.706
O  0.111  0.434  0.730
O  0.904  0.597  0.266
O  0.449  0.737  0.705
O  0.588  0.243  0.278
As  0.290  0.298  0.117
Co  0.504  0.500  0.488
Co  0.030  0.026  0.916
V  0.813  0.823  0.544